No. 1
This record from Alexandria describes a relaxed structure of CaCrO2. The functional is PBE+U.

## Properties
Energy above the lowest structure with this stoichiometry = 50.9 meV/atom
Space group = Imma, No. 74

POSCAR file:
```
CaCrO2
1.0
-2.3806 2.3875 4.4392
2.3806 -2.3875 4.4392
2.3806 2.3875 -4.4392
Ca Cr O
2 2 4
Direct
0.3750 0.1250 0.2500
0.6250 0.8750 0.7500
0.1250 0.3750 0.7500
0.8750 0.6250 0.2500
0.1101 0.8601 0.2500
0.3600 0.6100 0.7500
0.6400 0.3900 0.2500
0.8899 0.1399 0.7500
```

---

No. 2
This record from Alexandria describes a relaxed structure of CaCrO2. The functional is PBE+U.

## Properties
Energy above the lowest structure with this stoichiometry = 1025.7 meV/atom
Space group = Fm-3m, No. 225

POSCAR file:
```
CaCrO2
1.0
0.0000 2.7609 2.7609
2.7609 0.0000 2.7609
2.7609 2.7609 0.0000
Ca Cr O
1 1 2
Direct
0.0000 0.0000 0.0000
0.5000 0.5000 0.5000
0.2500 0.2500 0.2500
0.7500 0.7500 0.7500
```

---

No. 3
This record from Alexandria describes a relaxed structure of Ca2Cr3O8. The functional is PBE+U.

## Properties
Energy above the lowest structure with this stoichiometry = 0.0 meV/atom
Space group = C2/m, No. 12

POSCAR file:
```
Ca2Cr3O8
1.0
5.5765 -3.0139 0.0000
5.5765 3.0139 0.0000
-1.7625 0.0000 4.7262
Ca Cr O
2 3 8
Direct
0.2242 0.2242 0.1695
0.7758 0.7758 0.8305
0.2389 0.7611 0.5000
0.5000 0.5000 0.0000
0.7611 0.2389 0.5000
0.1041 0.1041 0.4595
0.1821 0.6170 0.1082
0.3830 0.8179 0.8918
0.4009 0.4009 0.5898
0.5991 0.5991 0.4102
0.6170 0.1821 0.1082
0.8179 0.3830 0.8918
0.8959 0.8959 0.5405
```

---

No. 4
This record from Alexandria describes a relaxed structure of CaCr2O4. The functional is PBE+U.

## Properties
Energy above the lowest structure with this stoichiometry = 282.3 meV/atom
Space group = Imma, No. 74

POSCAR file:
```
CaCr2O4
1.0
-3.0995 3.2155 4.3099
3.0995 -3.2155 4.3099
3.0995 3.2155 -4.3099
Ca Cr O
2 4 8
Direct
0.0000 0.0000 0.0000
0.5000 0.0000 0.5000
0.0000 0.0000 0.5000
0.0000 0.5000 0.0000
0.3688 0.6188 0.7500
0.6312 0.3812 0.2500
0.2047 0.7347 0.4700
0.2354 0.2653 0.9700
0.2375 0.2430 0.5055
0.2375 0.7320 0.9945
0.7625 0.2680 0.0055
0.7625 0.7570 0.4945
0.7646 0.7347 0.0300
0.7953 0.2653 0.5300
```

---

No. 5
This record from Alexandria describes a relaxed structure of CaCr4O6. The functional is PBE+U.

## Properties
E_tot = -83.397 eV per formula unit
Space group = Cmcm, No. 63

POSCAR file:
```
CaCr4O6
1.0
1.5497 -5.1747 0.0000
1.5497 5.1747 0.0000
0.0000 0.0000 15.1606
Ca Cr O
2 8 12
Direct
0.1692 0.8308 0.7500
0.8308 0.1692 0.2500
0.0851 0.9149 0.1331
0.0851 0.9149 0.3669
0.3613 0.6387 0.0429
0.3613 0.6387 0.4571
0.6387 0.3613 0.5429
0.6387 0.3613 0.9571
0.9149 0.0851 0.6331
0.9149 0.0851 0.8669
0.0000 0.0000 0.0000
0.0000 0.0000 0.5000
0.1681 0.8319 0.2500
0.2915 0.7085 0.5868
0.2915 0.7085 0.9132
0.4584 0.5416 0.1573
0.4584 0.5416 0.3427
0.5416 0.4584 0.6573
0.5416 0.4584 0.8427
0.7085 0.2915 0.0868
0.7085 0.2915 0.4132
0.8319 0.1681 0.7500
```

---

No. 6
This record from Alexandria describes a relaxed structure of CaCr4P4O16. The functional is PBE+U.

## Properties
Energy above the lowest structure with this stoichiometry = 0.0 meV/atom
Space group = P1, No. 1

POSCAR file:
```
CaCr4P4O16
1.0
5.7043 0.0000 0.0000
1.4276 6.2661 0.0000
1.7275 1.9386 9.0584
Ca Cr P O
1 4 4 16
Direct
0.0000 0.0000 0.0000
0.1890 0.2464 0.2449
0.2561 0.3391 0.6121
0.6318 0.4868 0.0327
0.7419 0.5723 0.3987
0.1287 0.5536 0.9178
0.2920 0.6914 0.3008
0.6439 0.1142 0.3541
0.7921 0.2700 0.7160
0.0474 0.1127 0.7255
0.0985 0.5629 0.2840
0.1180 0.3264 0.0290
0.1946 0.9296 0.2401
0.2070 0.5123 0.7617
0.3012 0.6764 0.9613
0.3614 0.6174 0.4632
0.3745 0.1883 0.4278
0.5525 0.6262 0.2158
0.5886 0.1946 0.6680
0.6408 0.1597 0.1834
0.7154 0.3135 0.8726
0.7340 0.8730 0.4142
0.8100 0.2574 0.3831
0.8747 0.7030 0.9384
0.8808 0.4661 0.5921
```

---

No. 7
This record from Alexandria describes a relaxed structure of CaCr2P4O14. The functional is PBE+U.

## Properties
E_tot = -155.915 eV per formula unit
Space group = P1, No. 1

POSCAR file:
```
CaCr2P4O14
1.0
6.3788 0.0000 0.0000
0.8091 6.3561 0.0000
0.3836 2.9666 6.3663
Ca Cr P O
1 2 4 14
Direct
0.0000 0.0000 0.0000
0.5357 0.5606 0.1262
0.8251 0.7195 0.7003
0.0490 0.4350 0.1650
0.3092 0.8473 0.6767
0.5684 0.9840 0.2698
0.7833 0.3011 0.5642
0.1154 0.2412 0.1046
0.1380 0.6993 0.6776
0.2168 0.5961 0.1456
0.2409 0.0328 0.7499
0.3856 0.9664 0.4366
0.5135 0.6888 0.7981
0.5143 0.8755 0.1256
0.5847 0.4203 0.4346
0.5916 0.2400 0.1380
0.7771 0.8553 0.3908
0.7891 0.0378 0.6981
0.8376 0.3959 0.7205
0.8507 0.6037 0.0354
0.9790 0.3370 0.4040
```

---

No. 8
This record from Alexandria describes a relaxed structure of CaCr4P4O16. The functional is PBE+U.

## Properties
Energy above the lowest structure with this stoichiometry = 11.1 meV/atom
Space group = P1, No. 1

POSCAR file:
```
CaCr4P4O16
1.0
5.6321 0.0000 0.0000
1.2476 6.3324 0.0000
1.3864 2.0449 9.0767
Ca Cr P O
1 4 4 16
Direct
0.0000 0.0000 0.0000
0.0692 0.4878 0.0316
0.2454 0.6007 0.4087
0.6203 0.2789 0.2463
0.7953 0.3814 0.6115
0.1264 0.1502 0.3584
0.2346 0.2923 0.7260
0.6290 0.5892 0.9136
0.7362 0.7249 0.2837
0.0454 0.1372 0.7351
0.1036 0.5018 0.6242
0.1219 0.2029 0.1846
0.2007 0.9112 0.4125
0.2264 0.3078 0.8900
0.3118 0.2789 0.3913
0.3623 0.6629 0.9749
0.4965 0.2278 0.6639
0.5430 0.6089 0.2458
0.6365 0.5460 0.7620
0.6880 0.9701 0.2163
0.7464 0.6669 0.4509
0.7518 0.3717 0.0228
0.8153 0.7375 0.9221
0.8729 0.2407 0.4310
0.9893 0.6486 0.1973
```

---

No. 9
This record from Alexandria describes a relaxed structure of Ca9CrP7O28. The functional is PBE+U.

## Properties
E_tot = -328.855 eV per formula unit
Space group = R3c, No. 161

POSCAR file:
```
Ca9CrP7O28
1.0
5.2109 3.0085 12.5086
-5.2109 3.0085 12.5086
0.0000 -6.0170 12.5086
Ca Cr P O
18 2 14 56
Direct
0.0553 0.4618 0.4829
0.0717 0.6634 0.0858
0.0858 0.0717 0.6634
0.1634 0.5717 0.5858
0.3631 0.9130 0.9409
0.4130 0.8631 0.4409
0.4409 0.4130 0.8631
0.4618 0.4829 0.0553
0.4829 0.0553 0.4618
0.5553 0.9829 0.9618
0.5717 0.5858 0.1634
0.5858 0.1634 0.5717
0.6634 0.0858 0.0717
0.8631 0.4409 0.4130
0.9130 0.9409 0.3631
0.9409 0.3631 0.9130
0.9618 0.5553 0.9829
0.9829 0.9618 0.5553
0.0082 0.0082 0.0082
0.5082 0.5082 0.5082
0.1918 0.6952 0.2282
0.1952 0.6918 0.7282
0.2282 0.1918 0.6952
0.2761 0.2761 0.2761
0.2844 0.8274 0.3191
0.3191 0.2844 0.8274
0.3274 0.7844 0.8191
0.6918 0.7282 0.1952
0.6952 0.2282 0.1918
0.7282 0.1952 0.6918
0.7761 0.7761 0.7761
0.7844 0.8191 0.3274
0.8191 0.3274 0.7844
0.8274 0.3191 0.2844
0.0971 0.6562 0.4009
0.1180 0.4016 0.2703
0.1192 0.8748 0.1391
0.1204 0.6829 0.6923
0.1231 0.8416 0.3953
0.1391 0.1192 0.8748
0.1448 0.8598 0.6729
0.1457 0.3643 0.8774
0.1466 0.8832 0.8905
0.1562 0.5971 0.9009
0.1729 0.3598 0.6448
0.1829 0.6204 0.1923
0.1923 0.1829 0.6204
0.2692 0.9095 0.3673
0.2703 0.1180 0.4016
0.3176 0.3176 0.3176
0.3416 0.6231 0.8953
0.3598 0.6448 0.1729
0.3643 0.8774 0.1457
0.3673 0.2692 0.9095
0.3748 0.6192 0.6391
0.3774 0.8643 0.6457
0.3832 0.6466 0.3905
0.3905 0.3832 0.6466
0.3953 0.1231 0.8416
0.4009 0.0971 0.6562
0.4016 0.2703 0.1180
0.4095 0.7692 0.8673
0.5971 0.9009 0.1562
0.6180 0.7703 0.9016
0.6192 0.6391 0.3748
0.6204 0.1923 0.1829
0.6231 0.8953 0.3416
0.6391 0.3748 0.6192
0.6448 0.1729 0.3598
0.6457 0.3774 0.8643
0.6466 0.3905 0.3832
0.6562 0.4009 0.0971
0.6729 0.1448 0.8598
0.6829 0.6923 0.1204
0.6923 0.1204 0.6829
0.7692 0.8673 0.4095
0.7703 0.9016 0.6180
0.8176 0.8176 0.8176
0.8416 0.3953 0.1231
0.8598 0.6729 0.1448
0.8643 0.6457 0.3774
0.8673 0.4095 0.7692
0.8748 0.1391 0.1192
0.8774 0.1457 0.3643
0.8832 0.8905 0.1466
0.8905 0.1466 0.8832
0.8953 0.3416 0.6231
0.9009 0.1562 0.5971
0.9016 0.6180 0.7703
0.9095 0.3673 0.2692
```

---

No. 10
This record from Alexandria describes a relaxed structure of CaCrPO5. The functional is PBE+U.

## Properties
E_tot = -59.370 eV per formula unit
Space group = C2/c, No. 15

POSCAR file:
```
CaCrPO5
1.0
3.3298 -4.3683 0.0000
3.3298 4.3683 0.0000
-2.8409 0.0000 6.4561
Ca Cr P O
2 2 2 10
Direct
0.1716 0.8284 0.7500
0.8284 0.1716 0.2500
0.5000 0.5000 0.0000
0.5000 0.5000 0.5000
0.1806 0.8194 0.2500
0.8194 0.1806 0.7500
0.1006 0.2458 0.9080
0.1803 0.6151 0.3704
0.2458 0.1006 0.4080
0.3849 0.8197 0.1296
0.4178 0.5822 0.7500
0.5822 0.4178 0.2500
0.6151 0.1803 0.8704
0.7542 0.8994 0.5920
0.8197 0.3849 0.6296
0.8994 0.7542 0.0920
```

---

No. 11
This record from Alexandria describes a relaxed structure of CaCrP2O7. The functional is PBE+U.

## Properties
E_tot = -81.855 eV per formula unit
Space group = P-1, No. 2

POSCAR file:
```
CaCrP2O7
1.0
5.9388 0.0000 0.0000
2.2585 6.2677 0.0000
0.3416 1.2003 7.5998
Ca Cr P O
2 2 4 14
Direct
0.1900 0.3307 0.3391
0.8100 0.6693 0.6609
0.2260 0.8650 0.8217
0.7740 0.1350 0.1783
0.2656 0.7919 0.3878
0.3401 0.3306 0.8847
0.6599 0.6694 0.1153
0.7344 0.2081 0.6122
0.1117 0.0179 0.2946
0.1163 0.6487 0.4504
0.1660 0.5649 0.8448
0.2366 0.1690 0.8349
0.4254 0.6703 0.2336
0.4260 0.8085 0.5294
0.4318 0.2798 0.0767
0.5682 0.7202 0.9233
0.5740 0.1915 0.4706
0.5746 0.3297 0.7664
0.7634 0.8310 0.1651
0.8340 0.4351 0.1552
0.8837 0.3513 0.5496
0.8883 0.9821 0.7054
```

---

No. 12
This record from Alexandria describes a relaxed structure of CaCrPO4. The functional is PBE+U.

## Properties
E_tot = -49.801 eV per formula unit
Space group = Imma, No. 74

POSCAR file:
```
CaCrPO4
1.0
-2.9597 3.6633 4.1113
2.9597 -3.6633 4.1113
2.9597 3.6633 -4.1113
Ca Cr P O
2 2 2 8
Direct
0.0000 0.0000 0.0000
0.5000 0.0000 0.5000
0.5000 0.0000 0.0000
0.5000 0.5000 0.5000
0.1359 0.3859 0.7500
0.8641 0.6141 0.2500
0.1417 0.7157 0.4259
0.2102 0.2843 0.9259
0.2515 0.2834 0.5319
0.2515 0.7196 0.9681
0.7485 0.2804 0.0319
0.7485 0.7166 0.4681
0.7898 0.7157 0.0741
0.8583 0.2843 0.5741
```

---

no.,total moment (μB/atom)
1,1.000
2,0.000
3,0.462
4,0.857
5,1.273
6,0.560
7,0.285
8,0.560
9,0.062
10,0.375
11,0.364
12,0.687